The following is a PBE calculation of a geometry-optimized AgHg2Pt structure, from the Alexandria database.

Unit cell a=5.462 b=5.462 c=5.462 alpha=137.68 beta=135.10 gamma=63.40
Sites, in units of the cell vectors:
1 Ag 0.000 0.000 0.000
2 Hg 0.256 0.756 0.500
3 Hg 0.509 0.509 0.000
4 Pt 0.752 0.252 0.500

Values from the calculation:
magnetization: 0.00 μB/cell
VASP energy: -2.29 eV per atom
space group: Imm2
DOS at the Fermi energy: 0.334 states/eV per atom
calculated volume: 19.1 A^3/atom
calculated density: 15.3 g/cm3
energy above the lowest structure with this stoichiometry: 0.021 eV/atom

The following is a PBE calculation of a geometry-optimized Nd7Sm16Y6 structure, from the Alexandria database.

Unit cell a=11.336 b=11.336 c=11.336 alpha=60.00 beta=60.00 gamma=60.00
Sites, in units of the cell vectors:
1 Nd 0.000 0.000 0.000
2 Nd 0.000 0.000 0.500
3 Nd 0.000 0.500 0.000
4 Nd 0.000 0.500 0.500
5 Nd 0.500 0.000 0.000
6 Nd 0.500 0.000 0.500
7 Nd 0.500 0.500 0.000
8 Sm 0.043 0.652 0.652
9 Sm 0.125 0.125 0.125
10 Sm 0.125 0.125 0.624
11 Sm 0.125 0.624 0.125
12 Sm 0.348 0.348 0.348
13 Sm 0.348 0.348 0.957
14 Sm 0.348 0.957 0.348
15 Sm 0.376 0.875 0.875
16 Sm 0.624 0.125 0.125
17 Sm 0.652 0.043 0.652
18 Sm 0.652 0.652 0.043
19 Sm 0.652 0.652 0.652
20 Sm 0.875 0.376 0.875
21 Sm 0.875 0.875 0.376
22 Sm 0.875 0.875 0.875
23 Sm 0.957 0.348 0.348
24 Y 0.270 0.270 0.730
25 Y 0.270 0.730 0.270
26 Y 0.270 0.730 0.730
27 Y 0.730 0.270 0.270
28 Y 0.730 0.270 0.730
29 Y 0.730 0.730 0.270

Values from the calculation:
magnetization: 0.00 μB/cell
VASP energy: -4.87 eV per atom
space group: Fm-3m
DOS at the Fermi energy: 1.624 states/eV per atom
calculated volume: 35.5 A^3/atom
calculated density: 6.4 g/cm3

The following is a PBE calculation of a geometry-optimized NiH7Pd12 structure, from the Alexandria database.

Unit cell a=6.371 b=6.371 c=6.371 alpha=107.38 beta=107.38 gamma=107.38
Sites, in units of the cell vectors:
1 Ni 0.000 0.000 0.000
2 H 0.023 0.112 0.320
3 H 0.112 0.320 0.023
4 H 0.320 0.023 0.112
5 H 0.500 0.500 0.500
6 H 0.680 0.977 0.888
7 H 0.888 0.680 0.977
8 H 0.977 0.888 0.680
9 Pd 0.076 0.230 0.695
10 Pd 0.152 0.459 0.386
11 Pd 0.230 0.695 0.076
12 Pd 0.305 0.924 0.770
13 Pd 0.386 0.152 0.459
14 Pd 0.459 0.386 0.152
15 Pd 0.541 0.614 0.848
16 Pd 0.614 0.848 0.541
17 Pd 0.695 0.076 0.230
18 Pd 0.770 0.305 0.924
19 Pd 0.848 0.541 0.614
20 Pd 0.924 0.770 0.305

Values from the calculation:
magnetization: 0.00 μB/cell
VASP energy: -4.63 eV per atom
space group: R-3
DOS at the Fermi energy: 0.892 states/eV per atom
calculated volume: 10.7 A^3/atom
calculated density: 10.5 g/cm3